Record 1
DFT (PBE-GGA) results for a relaxed structure of Fe2AuCl6.

Output
The value obtained for the formation energy without anion corrections is -0.60 eV/atom. The calculation puts the density of states at the Fermi level at 25.61 states/eV/cell. As for the calculated volume: 302.1 Å³/f.u. The polymorph energy (0 for the lowest one) is 0.000 eV per atom. The crystal system is monoclinic.

The structure in CIF format:
```
data_Fe2AuCl6
_symmetry_space_group_name_H-M 'C 1 2/c 1'
_symmetry_Int_Tables_number 15
_cell_length_a 14.034
_cell_length_b 13.907
_cell_length_c 6.411
_cell_angle_alpha 90.00
_cell_angle_beta 105.04
_cell_angle_gamma 90.00
loop_
_symmetry_equiv_pos_as_xyz
'x,y,z'
'-x,-y,-z'
'-x,y,-z+1/2'
'x,-y,z+1/2'
'x+1/2,y+1/2,z'
'-x+1/2,-y+1/2,-z'
'-x+1/2,y+1/2,-z+1/2'
'x+1/2,-y+1/2,z+1/2'
loop_
_atom_site_label
_atom_site_fract_x
_atom_site_fract_y
_atom_site_fract_z
Fe1 0.233 0.080 0.324
Au1 0.000 0.208 0.250
Cl1 0.111 0.397 0.608
Cl2 0.144 0.207 0.141
Cl3 0.180 0.061 0.638
```



Record 2
DFT (PBE-GGA) results for a relaxed structure of Li8SnBi2.

Output
The calculation puts the density of states at the Fermi level at 2.34 states/eV/cell. As for the calculated volume: 220.0 Å³/f.u. The crystal system is monoclinic. For the formation energy, the calculation gives -0.4431 eV per atom.

The structure in CIF format:
```
data_Li8SnBi2
_symmetry_space_group_name_H-M 'C 1 2/m 1'
_symmetry_Int_Tables_number 12
_cell_length_a 14.196
_cell_length_b 4.751
_cell_length_c 7.737
_cell_angle_alpha 90.00
_cell_angle_beta 122.50
_cell_angle_gamma 90.00
loop_
_symmetry_equiv_pos_as_xyz
'x,y,z'
'-x,-y,-z'
'-x,y,-z'
'x,-y,z'
'x+1/2,y+1/2,z'
'-x+1/2,-y+1/2,-z'
'-x+1/2,y+1/2,-z'
'x+1/2,-y+1/2,z'
loop_
_atom_site_label
_atom_site_fract_x
_atom_site_fract_y
_atom_site_fract_z
Li1 0.009 0.000 0.287
Li2 0.143 0.500 0.847
Li3 0.150 0.000 0.124
Li4 0.158 0.500 0.450
Sn1 0.000 0.500 0.000
Bi1 0.197 0.000 0.706
```



Record 3
DFT (PBE-GGA) results for a relaxed structure of LiAlW4.

Output
The calculation puts the density of states at the Fermi level at 28.77 states/eV/cell. As for the calculated volume: 105.0 Å³/f.u. The crystal system is cubic. For the formation energy, the calculation gives 0.6112 eV per atom.

The structure in CIF format:
```
data_LiAlW4
_symmetry_space_group_name_H-M 'F -4 3 m'
_symmetry_Int_Tables_number 216
_symmetry_space_group_name_Hall 'F -4 2 3'
_cell_length_a 7.488
_cell_length_b 7.488
_cell_length_c 7.488
_cell_angle_alpha 90.00
_cell_angle_beta 90.00
_cell_angle_gamma 90.00
loop_
_atom_site_label
_atom_site_fract_x
_atom_site_fract_y
_atom_site_fract_z
Li1 0.000 0.000 0.000
Al1 0.250 0.250 0.750
W1 0.126 0.126 0.374
```